Record 1
Material: LiNbO3
Method: DFT, PBEsol
State: relaxed

```
data_LiNbO3
_cell_length_a 5.6099
_cell_length_b 5.6099
_cell_length_c 5.6099
_cell_angle_alpha 55.46
_cell_angle_beta 55.46
_cell_angle_gamma 55.46
_space_group_name_H-M_alt 'P 1'
_space_group_IT_number 1
loop_
_space_group_symop_operation_xyz
'x,y,z'
loop_
_atom_site_label
_atom_site_type_symbol
_atom_site_fract_x
_atom_site_fract_y
_atom_site_fract_z
Li1 Li 0.1441 0.1441 0.1441
Li2 Li 0.8559 0.8559 0.8559
Nb1 Nb 0.3564 0.3564 0.3564
Nb2 Nb 0.6436 0.6436 0.6436
O1 O 0.0601 0.4573 0.7192
O2 O 0.2808 0.9399 0.5427
O3 O 0.4573 0.7192 0.0601
O4 O 0.5427 0.2808 0.9399
O5 O 0.7192 0.0601 0.4573
O6 O 0.9399 0.5427 0.2808
```

Fermi-level density of states ... 0.0 states/eV/f.u.
E_tot ... -8.171 eV per atom
Formation energy without anion corrections ... -2.464 eV/atom

Record 2
Material: LiNbO3
Method: DFT, PBEsol
State: relaxed

```
data_LiNbO3
_cell_length_a 5.4741
_cell_length_b 5.4741
_cell_length_c 5.0450
_cell_angle_alpha 95.56
_cell_angle_beta 95.56
_cell_angle_gamma 125.04
_space_group_name_H-M_alt 'P 1'
_space_group_IT_number 1
loop_
_space_group_symop_operation_xyz
'x,y,z'
loop_
_atom_site_label
_atom_site_type_symbol
_atom_site_fract_x
_atom_site_fract_y
_atom_site_fract_z
Li1 Li 0.1618 0.8382 0.0000
Li2 Li 0.8382 0.1618 0.0000
Nb1 Nb 0.3442 0.6558 0.5000
Nb2 Nb 0.6558 0.3442 0.5000
O1 O 0.0490 0.4643 0.7396
O2 O 0.2966 0.2966 0.2940
O3 O 0.4643 0.0490 0.7396
O4 O 0.5357 0.9510 0.2604
O5 O 0.7034 0.7034 0.7060
O6 O 0.9510 0.5357 0.2604
```

Fermi-level density of states ... 0.0 states/eV/f.u.
E_tot ... -8.144 eV per atom
Formation energy without anion corrections ... -2.437 eV/atom

Record 3
Material: LiNbO3
Method: DFT, PBEsol
State: relaxed

```
data_LiNbO3
_cell_length_a 5.2158
_cell_length_b 5.2158
_cell_length_c 9.8196
_cell_angle_alpha 91.68
_cell_angle_beta 91.68
_cell_angle_gamma 114.46
_space_group_name_H-M_alt 'P 1'
_space_group_IT_number 1
loop_
_space_group_symop_operation_xyz
'x,y,z'
loop_
_atom_site_label
_atom_site_type_symbol
_atom_site_fract_x
_atom_site_fract_y
_atom_site_fract_z
Li1 Li 0.1316 0.8684 0.7500
Li2 Li 0.2470 0.7530 0.2500
Li3 Li 0.7530 0.2470 0.7500
Li4 Li 0.8684 0.1316 0.2500
Nb1 Nb 0.1780 0.3237 0.9885
Nb2 Nb 0.3237 0.1780 0.4885
Nb3 Nb 0.6763 0.8220 0.5115
Nb4 Nb 0.8220 0.6763 0.0115
O1 O 0.0143 0.1046 0.6186
O2 O 0.0541 0.5545 0.8734
O3 O 0.1046 0.0143 0.1186
O4 O 0.3411 0.5037 0.3996
O5 O 0.4455 0.9459 0.6266
O6 O 0.4963 0.6589 0.1004
O7 O 0.5037 0.3411 0.8996
O8 O 0.5545 0.0541 0.3734
O9 O 0.6589 0.4963 0.6004
O10 O 0.8954 0.9857 0.8814
O11 O 0.9459 0.4455 0.1266
O12 O 0.9857 0.8954 0.3814
```

Fermi-level density of states ... 0.0 states/eV/f.u.
E_tot ... -8.149 eV per atom
Formation energy without anion corrections ... -2.442 eV/atom

Record 4
Material: LiNbO3
Method: DFT, PBEsol
State: relaxed

```
data_LiNbO3
_cell_length_a 5.2236
_cell_length_b 5.4722
_cell_length_c 15.0102
_cell_angle_alpha 90.00
_cell_angle_beta 90.00
_cell_angle_gamma 90.00
_space_group_name_H-M_alt 'P 1'
_space_group_IT_number 1
loop_
_space_group_symop_operation_xyz
'x,y,z'
loop_
_atom_site_label
_atom_site_type_symbol
_atom_site_fract_x
_atom_site_fract_y
_atom_site_fract_z
Li1 Li 0.2399 0.2500 0.0000
Li2 Li 0.2399 0.2500 0.5000
Li3 Li 0.2450 0.2320 0.2500
Li4 Li 0.2450 0.2680 0.7500
Li5 Li 0.7550 0.7320 0.2500
Li6 Li 0.7550 0.7680 0.7500
Li7 Li 0.7601 0.7500 0.0000
Li8 Li 0.7601 0.7500 0.5000
Nb1 Nb 0.2581 0.7478 0.1254
Nb2 Nb 0.2581 0.7478 0.3746
Nb3 Nb 0.2581 0.7522 0.6254
Nb4 Nb 0.2581 0.7522 0.8746
Nb5 Nb 0.7419 0.2478 0.1254
Nb6 Nb 0.7419 0.2478 0.3746
Nb7 Nb 0.7419 0.2522 0.6254
Nb8 Nb 0.7419 0.2522 0.8746
O1 O 0.0653 0.0352 0.6564
O2 O 0.0653 0.0352 0.8436
O3 O 0.0653 0.4648 0.1564
O4 O 0.0653 0.4648 0.3436
O5 O 0.1297 0.7500 0.0000
O6 O 0.1297 0.7500 0.5000
O7 O 0.3707 0.6814 0.7500
O8 O 0.3707 0.8186 0.2500
O9 O 0.4298 0.0867 0.0945
O10 O 0.4298 0.0867 0.4055
O11 O 0.4298 0.4133 0.5945
O12 O 0.4298 0.4133 0.9055
O13 O 0.5702 0.5867 0.0945
O14 O 0.5702 0.5867 0.4055
O15 O 0.5702 0.9133 0.5945
O16 O 0.5702 0.9133 0.9055
O17 O 0.6293 0.1814 0.7500
O18 O 0.6293 0.3186 0.2500
O19 O 0.8703 0.2500 0.0000
O20 O 0.8703 0.2500 0.5000
O21 O 0.9347 0.5352 0.6564
O22 O 0.9347 0.5352 0.8436
O23 O 0.9347 0.9648 0.1564
O24 O 0.9347 0.9648 0.3436
```

Fermi-level density of states ... 0.0 states/eV/f.u.
E_tot ... -8.170 eV per atom
Formation energy without anion corrections ... -2.463 eV/atom

Record 5
Material: Li8NbO6
Method: DFT, PBEsol
State: relaxed

```
data_Li8NbO6
_cell_length_a 5.9930
_cell_length_b 5.9930
_cell_length_c 5.9930
_cell_angle_alpha 53.65
_cell_angle_beta 53.65
_cell_angle_gamma 53.65
_space_group_name_H-M_alt 'P 1'
_space_group_IT_number 1
loop_
_space_group_symop_operation_xyz
'x,y,z'
loop_
_atom_site_label
_atom_site_type_symbol
_atom_site_fract_x
_atom_site_fract_y
_atom_site_fract_z
Li1 Li 0.0096 0.3951 0.7345
Li2 Li 0.1583 0.1583 0.1583
Li3 Li 0.2655 0.9904 0.6049
Li4 Li 0.3951 0.7345 0.0096
Li5 Li 0.6049 0.2655 0.9904
Li6 Li 0.7345 0.0096 0.3951
Li7 Li 0.8417 0.8417 0.8417
Li8 Li 0.9904 0.6049 0.2655
Nb1 Nb 0.5000 0.5000 0.5000
O1 O 0.1124 0.7346 0.4098
O2 O 0.2654 0.5902 0.8876
O3 O 0.4098 0.1124 0.7346
O4 O 0.5902 0.8876 0.2654
O5 O 0.7346 0.4098 0.1124
O6 O 0.8876 0.2654 0.5902
```

Fermi-level density of states ... 4.5 states/eV/f.u.
E_tot ... -5.878 eV per atom
Formation energy without anion corrections ... -2.007 eV/atom

Record 6
Material: Li2NbO3
Method: DFT, PBEsol
State: relaxed

```
data_Li2NbO3
_cell_length_a 5.1027
_cell_length_b 5.1027
_cell_length_c 5.0987
_cell_angle_alpha 100.70
_cell_angle_beta 100.70
_cell_angle_gamma 117.88
_space_group_name_H-M_alt 'P 1'
_space_group_IT_number 1
loop_
_space_group_symop_operation_xyz
'x,y,z'
loop_
_atom_site_label
_atom_site_type_symbol
_atom_site_fract_x
_atom_site_fract_y
_atom_site_fract_z
Li1 Li 0.0801 0.9199 0.7500
Li2 Li 0.2381 0.7619 0.2500
Li3 Li 0.7619 0.2381 0.7500
Li4 Li 0.9199 0.0801 0.2500
Nb1 Nb 0.4155 0.5845 0.7500
Nb2 Nb 0.5845 0.4155 0.2500
O1 O 0.0000 0.5000 0.5000
O2 O 0.1742 0.3375 0.0007
O3 O 0.3375 0.1742 0.5007
O4 O 0.5000 0.0000 0.0000
O5 O 0.6625 0.8258 0.4993
O6 O 0.8258 0.6625 0.9993
```

Fermi-level density of states ... 2.1 states/eV/f.u.
E_tot ... -7.382 eV per atom
Formation energy without anion corrections ... -2.298 eV/atom

Record 7
Material: Li3NbO4
Method: DFT, PBEsol
State: relaxed

```
data_Li3NbO4
_cell_length_a 7.2776
_cell_length_b 7.2776
_cell_length_c 7.2776
_cell_angle_alpha 109.47
_cell_angle_beta 109.47
_cell_angle_gamma 109.47
_space_group_name_H-M_alt 'P 1'
_space_group_IT_number 1
loop_
_space_group_symop_operation_xyz
'x,y,z'
loop_
_atom_site_label
_atom_site_type_symbol
_atom_site_fract_x
_atom_site_fract_y
_atom_site_fract_z
Li1 Li 0.0000 0.2719 0.5143
Li2 Li 0.0000 0.5143 0.2719
Li3 Li 0.2424 0.7281 0.7281
Li4 Li 0.2719 0.0000 0.5143
Li5 Li 0.2719 0.5143 0.0000
Li6 Li 0.4857 0.4857 0.7576
Li7 Li 0.4857 0.7576 0.4857
Li8 Li 0.5143 0.0000 0.2719
Li9 Li 0.5143 0.2719 0.0000
Li10 Li 0.7281 0.2424 0.7281
Li11 Li 0.7281 0.7281 0.2424
Li12 Li 0.7576 0.4857 0.4857
Nb1 Nb 0.0000 0.0000 0.7186
Nb2 Nb 0.0000 0.7186 0.0000
Nb3 Nb 0.2814 0.2814 0.2814
Nb4 Nb 0.7186 0.0000 0.0000
O1 O 0.0000 0.0000 0.2287
O2 O 0.0000 0.2287 0.0000
O3 O 0.0000 0.5118 0.7581
O4 O 0.0000 0.7581 0.5118
O5 O 0.2287 0.0000 0.0000
O6 O 0.2419 0.2419 0.7537
O7 O 0.2419 0.7537 0.2419
O8 O 0.2463 0.4882 0.4882
O9 O 0.4882 0.2463 0.4882
O10 O 0.4882 0.4882 0.2463
O11 O 0.5118 0.0000 0.7581
O12 O 0.5118 0.7581 0.0000
O13 O 0.7537 0.2419 0.2419
O14 O 0.7581 0.0000 0.5118
O15 O 0.7581 0.5118 0.0000
O16 O 0.7713 0.7713 0.7713
```

Energy above the lowest structure with this stoichiometry ... 0 meV/atom
Fermi-level density of states ... 0.0 states/eV/f.u.
E_tot ... -7.102 eV per atom
Formation energy without anion corrections ... -2.387 eV/atom

Record 8
Material: LiNb3O8
Method: DFT, PBEsol
State: relaxed

```
data_LiNb3O8
_cell_length_a 7.5212
_cell_length_b 5.0421
_cell_length_c 15.3748
_cell_angle_alpha 90.00
_cell_angle_beta 107.45
_cell_angle_gamma 90.00
_space_group_name_H-M_alt 'P 1'
_space_group_IT_number 1
loop_
_space_group_symop_operation_xyz
'x,y,z'
loop_
_atom_site_label
_atom_site_type_symbol
_atom_site_fract_x
_atom_site_fract_y
_atom_site_fract_z
Li1 Li 0.2436 0.2431 0.0807
Li2 Li 0.2436 0.2569 0.5807
Li3 Li 0.7564 0.7431 0.4193
Li4 Li 0.7564 0.7569 0.9193
Nb1 Nb 0.0189 0.7419 0.1645
Nb2 Nb 0.0189 0.7581 0.6645
Nb3 Nb 0.2513 0.7465 0.4255
Nb4 Nb 0.2513 0.7535 0.9255
Nb5 Nb 0.4906 0.2358 0.3312
Nb6 Nb 0.4906 0.2642 0.8312
Nb7 Nb 0.5094 0.7358 0.1688
Nb8 Nb 0.5094 0.7642 0.6688
Nb9 Nb 0.7487 0.2465 0.0745
Nb10 Nb 0.7487 0.2535 0.5745
Nb11 Nb 0.9811 0.2419 0.3355
Nb12 Nb 0.9811 0.2581 0.8355
O1 O 0.0030 0.0672 0.0988
O2 O 0.0030 0.4328 0.5988
O3 O 0.0861 0.5837 0.7845
O4 O 0.0861 0.9163 0.2845
O5 O 0.1488 0.0714 0.4520
O6 O 0.1488 0.4286 0.9520
O7 O 0.2381 0.5962 0.1550
O8 O 0.2381 0.9038 0.6550
O9 O 0.2758 0.0803 0.8448
O10 O 0.2758 0.4197 0.3448
O11 O 0.3533 0.6019 0.5402
O12 O 0.3533 0.8981 0.0402
O13 O 0.4126 0.0695 0.2163
O14 O 0.4126 0.4305 0.7163
O15 O 0.4622 0.5785 0.8997
O16 O 0.4622 0.9215 0.3997
O17 O 0.5378 0.0785 0.6003
O18 O 0.5378 0.4215 0.1003
O19 O 0.5874 0.5695 0.2837
O20 O 0.5874 0.9305 0.7837
O21 O 0.6467 0.1019 0.9598
O22 O 0.6467 0.3981 0.4598
O23 O 0.7242 0.5803 0.6552
O24 O 0.7242 0.9197 0.1552
O25 O 0.7619 0.0962 0.3450
O26 O 0.7619 0.4038 0.8450
O27 O 0.8512 0.5714 0.0480
O28 O 0.8512 0.9286 0.5480
O29 O 0.9139 0.0837 0.7155
O30 O 0.9139 0.4163 0.2155
O31 O 0.9970 0.5672 0.4012
O32 O 0.9970 0.9328 0.9012
```

Fermi-level density of states ... 0.0 states/eV/f.u.
E_tot ... -8.883 eV per atom
Formation energy without anion corrections ... -2.514 eV/atom